7
Lattice="-2.485 2.485 7.589 2.485 -2.485 7.589 2.485 2.485 -7.589" Properties=species:S:1:pos:R:3 comment="PBE-GGA Hf4Sn2Au, optimized geometry" e_tot_ev_per_fu=-48.41 e_above_lowest_polymorph_mev_per_atom=536 pbc="T T T"
Hf 2.485 0.000 0.000
Hf 0.000 0.000 2.646
Hf 0.000 2.485 0.000
Hf 0.000 0.000 12.533
Sn 0.000 0.000 5.528
Sn 0.000 0.000 9.651
Au 0.000 0.000 0.000

=====

5
Lattice="5.108 0.000 0.000 0.000 5.108 0.000 0.000 0.000 5.108" Properties=species:S:1:pos:R:3 comment="PBE-GGA Hf3SnAu, optimized geometry" e_tot_ev_per_fu=-34.93 e_above_lowest_polymorph_mev_per_atom=542 pbc="T T T"
Hf 0.000 0.000 2.554
Hf 0.000 2.554 0.000
Hf 2.554 0.000 0.000
Sn 2.554 2.554 2.554
Au 0.000 0.000 0.000

=====

8
Lattice="5.678 0.000 0.000 0.000 4.077 0.000 -2.668 0.000 7.485" Properties=species:S:1:pos:R:3 comment="PBE-GGA Hf2SnAu, optimized geometry" e_tot_ev_per_fu=-28.58 pbc="T T T"
Hf -0.086 1.019 3.144
Hf 1.332 3.058 0.543
Hf 1.679 1.019 6.942
Hf 3.096 3.058 4.341
Sn 0.344 3.058 5.232
Sn 2.667 1.019 2.253
Au -1.403 1.019 6.069
Au 4.414 3.058 1.416

=====

8
Lattice="-3.099 3.099 6.131 3.099 -3.099 6.131 3.099 3.099 -6.131" Properties=species:S:1:pos:R:3 comment="PBE-GGA HfSnAu2, optimized geometry" e_tot_ev_per_fu=-19.44 pbc="T T T"
Hf 0.000 0.000 0.000
Hf 0.000 3.099 3.066
Sn 3.099 0.000 3.066
Sn 0.000 0.000 6.131
Au 4.648 1.521 -1.533
Au 1.521 1.549 1.533
Au -1.549 1.578 4.599
Au 1.578 1.549 7.664

=====

8
Lattice="5.520 0.000 0.000 0.000 5.520 0.000 0.000 0.000 5.520" Properties=species:S:1:pos:R:3 comment="PBE-GGA Hf6SnAu, optimized geometry" e_tot_ev_per_fu=-69.13 pbc="T T T"
Hf 0.000 1.399 2.760
Hf 0.000 4.121 2.760
Hf 1.399 2.760 0.000
Hf 2.760 0.000 1.399
Hf 2.760 0.000 4.121
Hf 4.121 2.760 0.000
Sn 0.000 0.000 0.000
Au 2.760 2.760 2.760

=====

4
Lattice="4.285 0.000 0.000 0.000 4.285 0.000 0.000 0.000 4.322" Properties=species:S:1:pos:R:3 comment="PBE-GGA HfSnAu2, optimized geometry" e_tot_ev_per_fu=-21.76 pbc="T T T"
Hf 0.000 0.000 0.000
Sn 2.143 2.143 0.000
Au 0.000 2.143 2.161
Au 2.143 0.000 2.161

=====

4
Lattice="0.000 3.399 3.399 3.399 0.000 3.399 3.399 3.399 0.000" Properties=species:S:1:pos:R:3 comment="PBE-GGA HfTiSnAu, optimized geometry" e_tot_ev_per_fu=-26.12 pbc="T T T"
Hf 0.000 0.000 0.000
Ti 3.399 3.399 3.399
Sn 1.699 1.699 1.699
Au 5.098 5.098 5.098

=====

5
Lattice="5.207 0.000 0.000 0.000 5.207 0.000 0.000 0.000 5.704" Properties=species:S:1:pos:R:3 comment="PBE-GGA HfZnSnAu2, optimized geometry" e_tot_ev_per_fu=-18.41 pbc="T T T"
Hf 0.000 0.000 0.000
Zn 2.603 2.603 2.852
Sn 0.000 0.000 2.852
Au 0.000 2.603 0.000
Au 2.603 0.000 0.000

=====

The records above yield total magnetization values of 0.00, 0.00, 0.00, 0.00, 0.00, 0.00, 0.65, 0.00 μB per cell, respectively.
The records above yield ΔH_f (0 K) values of 0.38, 0.44, -0.35, 0.27, -0.27, -0.31, -0.25, 0.68 eV/atom, respectively.